[1]
! YZrAu2 PBEsol relaxed; values from VASP
&SYSTEM
  ibrav = 0, nat = 4, ntyp = 3
/
ATOMIC_SPECIES
Y 88.91 Y.upf
Zr 91.22 Zr.upf
Au 196.97 Au.upf
CELL_PARAMETERS angstrom
-1.780 2.291 5.068
1.780 -2.291 5.068
1.780 2.291 -5.068
ATOMIC_POSITIONS crystal
Y 0.000 0.000 0.000
Zr 0.272 0.772 0.500
Au 0.510 0.510 0.000
Au 0.733 0.233 0.500
! - formation energy (meV per atom) = -507
! - energy relative to the lowest polymorph listed for this composition (meV/atom) = 177

[2]
! PbAu2Br PBEsol relaxed; values from VASP
&SYSTEM
  ibrav = 0, nat = 4, ntyp = 3
/
ATOMIC_SPECIES
Pb 207.20 Pb.upf
Au 196.97 Au.upf
Br 79.90 Br.upf
CELL_PARAMETERS angstrom
-2.098 2.931 3.989
2.098 -2.931 3.989
2.098 2.931 -3.989
ATOMIC_POSITIONS crystal
Pb 0.000 0.000 0.000
Au 0.567 0.567 0.000
Au 0.773 0.273 0.500
Br 0.347 0.847 0.500
! - raw formation energy (kJ per mole of atoms) = 6.3
! - energy relative to the lowest polymorph listed for this composition (meV/atom) = 0

[3]
! ZrMnW2 PBEsol relaxed; values from VASP
&SYSTEM
  ibrav = 0, nat = 4, ntyp = 3
/
ATOMIC_SPECIES
Zr 91.22 Zr.upf
Mn 54.94 Mn.upf
W 183.84 W.upf
CELL_PARAMETERS angstrom
0.000 3.122 3.122
3.122 0.000 3.122
3.122 3.122 0.000
ATOMIC_POSITIONS crystal
Zr 0.000 0.000 0.000
Mn 0.500 0.500 0.500
W 0.250 0.250 0.250
W 0.750 0.750 0.750
! - formation energy (meV per atom) = 257
! - energy relative to the lowest polymorph listed for this composition (meV/atom) = 175

[4]
! SbIr PBEsol relaxed; values from VASP
&SYSTEM
  ibrav = 0, nat = 8, ntyp = 2
/
ATOMIC_SPECIES
Sb 121.76 Sb.upf
Ir 192.22 Ir.upf
CELL_PARAMETERS angstrom
4.829 0.000 0.000
-2.415 4.182 0.000
0.000 0.000 7.769
ATOMIC_POSITIONS crystal
Sb 0.000 0.000 0.250
Sb 0.000 0.000 0.750
Sb 0.333 0.667 0.250
Sb 0.667 0.333 0.750
Ir 0.333 0.667 0.577
Ir 0.333 0.667 0.923
Ir 0.667 0.333 0.077
Ir 0.667 0.333 0.423
! - raw formation energy (kJ per mole of atoms) = 84.6

[5]
VASP calculation (PBEsol) on an optimized crystal structure of CeNiSnH2. Values from VASP.

Geometry as Quantum ESPRESSO input:
```
&SYSTEM
  ibrav = 0, nat = 10, ntyp = 4
/
ATOMIC_SPECIES
Ce 140.12 Ce.upf
Ni 58.69 Ni.upf
Sn 118.71 Sn.upf
H 1.01 H.upf
CELL_PARAMETERS angstrom
4.301 0.000 0.000
-2.151 3.725 0.000
0.000 0.000 8.236
ATOMIC_POSITIONS crystal
Ce 0.000 0.000 0.000
Ce 0.000 0.000 0.500
Ni 0.333 0.667 0.250
Ni 0.667 0.333 0.750
Sn 0.333 0.667 0.750
Sn 0.667 0.333 0.250
H 0.333 0.667 0.055
H 0.333 0.667 0.445
H 0.667 0.333 0.555
H 0.667 0.333 0.945
```

[6]
! KGe2Pb2 PBEsol relaxed; values from VASP
&SYSTEM
  ibrav = 0, nat = 5, ntyp = 3
/
ATOMIC_SPECIES
K 39.10 K.upf
Ge 72.64 Ge.upf
Pb 207.20 Pb.upf
CELL_PARAMETERS angstrom
-2.474 2.474 5.969
2.474 -2.474 5.969
2.474 2.474 -5.969
ATOMIC_POSITIONS crystal
K 0.000 0.000 0.000
Ge 0.393 0.393 0.000
Ge 0.607 0.607 0.000
Pb 0.250 0.750 0.500
Pb 0.750 0.250 0.500
! - formation energy (meV per atom) = -7

[7]
! Ba2YInCl PBEsol relaxed; values from VASP
&SYSTEM
  ibrav = 0, nat = 5, ntyp = 4
/
ATOMIC_SPECIES
Ba 137.33 Ba.upf
Y 88.91 Y.upf
In 114.82 In.upf
Cl 35.45 Cl.upf
CELL_PARAMETERS angstrom
6.683 0.000 0.000
0.000 6.683 0.000
0.000 0.000 5.375
ATOMIC_POSITIONS crystal
Ba 0.000 0.500 0.000
Ba 0.500 0.000 0.000
Y 0.000 0.000 0.500
In 0.500 0.500 0.000
Cl 0.500 0.500 0.500
! - raw formation energy (kJ per mole of atoms) = 21.0

[8]
! CsGa2Au PBEsol relaxed; values from VASP
&SYSTEM
  ibrav = 0, nat = 4, ntyp = 3
/
ATOMIC_SPECIES
Cs 132.91 Cs.upf
Ga 69.72 Ga.upf
Au 196.97 Au.upf
CELL_PARAMETERS angstrom
0.000 3.627 3.627
3.627 0.000 3.627
3.627 3.627 0.000
ATOMIC_POSITIONS crystal
Cs 0.000 0.000 0.000
Ga 0.250 0.250 0.250
Ga 0.750 0.750 0.750
Au 0.500 0.500 0.500
! - formation energy (meV per atom) = 298

[9]
! CdCo2Bi2 PBEsol relaxed; values from VASP
&SYSTEM
  ibrav = 0, nat = 5, ntyp = 3
/
ATOMIC_SPECIES
Cd 112.41 Cd.upf
Co 58.93 Co.upf
Bi 208.98 Bi.upf
CELL_PARAMETERS angstrom
-1.703 1.703 9.095
1.703 -1.703 9.095
1.703 1.703 -9.095
ATOMIC_POSITIONS crystal
Cd 0.000 0.000 0.000
Co 0.250 0.750 0.500
Co 0.750 0.250 0.500
Bi 0.367 0.367 0.000
Bi 0.633 0.633 0.000
! - formation energy (meV per atom) = 297

[10]
! ScBeBr PBEsol relaxed; values from VASP
&SYSTEM
  ibrav = 0, nat = 3, ntyp = 3
/
ATOMIC_SPECIES
Sc 44.96 Sc.upf
Be 9.01 Be.upf
Br 79.90 Br.upf
CELL_PARAMETERS angstrom
-1.653 1.653 5.517
1.653 -1.653 5.517
1.653 1.653 -5.517
ATOMIC_POSITIONS crystal
Sc 0.000 0.000 0.000
Be 0.625 0.625 0.000
Br 0.359 0.359 0.000
! - raw formation energy (kJ per mole of atoms) = -11.3
! - energy relative to the lowest polymorph listed for this composition (meV/atom) = 0

[11]
! Cd3FeB PBEsol relaxed; values from VASP
&SYSTEM
  ibrav = 0, nat = 5, ntyp = 3
/
ATOMIC_SPECIES
Cd 112.41 Cd.upf
Fe 55.84 Fe.upf
B 10.81 B.upf
CELL_PARAMETERS angstrom
4.889 0.000 0.000
0.000 4.889 0.000
0.000 0.000 4.889
ATOMIC_POSITIONS crystal
Cd 0.000 0.000 0.500
Cd 0.000 0.500 0.000
Cd 0.500 0.000 0.000
Fe 0.000 0.000 0.000
B 0.500 0.500 0.500
! - formation energy (meV per atom) = 1533

[12]
! SiAs2Ru PBEsol relaxed; values from VASP
&SYSTEM
  ibrav = 0, nat = 4, ntyp = 3
/
ATOMIC_SPECIES
Si 28.09 Si.upf
As 74.92 As.upf
Ru 101.07 Ru.upf
CELL_PARAMETERS angstrom
2.918 0.000 0.000
0.000 3.686 0.000
0.000 0.000 6.496
ATOMIC_POSITIONS crystal
Si 0.000 0.000 0.000
As 0.000 0.500 0.746
As 0.500 0.000 0.372
Ru 0.500 0.500 0.087
! - raw formation energy (kJ per mole of atoms) = -3.3

So what do the calculations give for Fermi-level density of states? Going down the list: 0.933, 0.230, 0.433, 1.218, 0.705, 0.566, 2.029, 0.642, 1.167, 0.640, 0.768, 0.372 states/eV/atom.
So what do the calculations give for electronic total energy? Going down the list: -6.447, -3.364, -11.360, -6.313, -5.300, -3.809, -3.004, -2.589, -4.751, -4.275, -2.381, -6.567 eV/atom.